{"formula": "MgGaAg2", "functional": "PBE-GGA", "state": "relaxed", "crystal_system": "cubic", "lattice": [[0.0000, 3.2786, 3.2786], [3.2786, 0.0000, 3.2786], [3.2786, 3.2786, 0.0000]], "species": ["Mg", "Ga", "Ag", "Ag"], "frac_coords": [[0.0000, 0.0000, 0.0000], [0.5000, 0.5000, 0.5000], [0.2500, 0.2500, 0.2500], [0.7500, 0.7500, 0.7500]]}

---

{"formula": "MgGa3Ag2", "functional": "PBE-GGA", "state": "relaxed", "polymorph_energy_mev_per_atom": 0.0, "crystal_system": "orthorhombic", "lattice": [[4.8182, 0.0000, 0.0000], [0.0000, 4.8219, -1.6304], [0.0000, -0.9654, 5.0906]], "species": ["Mg", "Ga", "Ga", "Ga", "Ag", "Ag"], "frac_coords": [[0.0000, 0.0000, 0.0000], [0.5000, 0.1743, 0.3485], [0.5000, 0.5000, 0.0000], [0.5000, 0.8257, 0.6515], [0.0000, 0.6660, 0.3320], [0.0000, 0.3340, 0.6680]]}

---

{"formula": "Mg3Ga4Ag2", "functional": "PBE-GGA", "state": "relaxed", "crystal_system": "monoclinic", "lattice": [[-0.8617, -4.5055, -0.4247], [5.2690, 1.4522, -1.1107], [-2.0874, -0.3526, 7.9758]], "species": ["Mg", "Mg", "Mg", "Ga", "Ga", "Ga", "Ga", "Ag", "Ag"], "frac_coords": [[0.6748, 0.3495, 0.6573], [0.0000, 0.0000, 0.0000], [0.3252, 0.6505, 0.3427], [0.7300, 0.4600, 0.0605], [0.2700, 0.5400, 0.9395], [0.9626, 0.9252, 0.6269], [0.0374, 0.0748, 0.3731], [0.5978, 0.1955, 0.2676], [0.4022, 0.8045, 0.7324]]}

---

no.,total moment (μB/cell),calculated formation energy (eV per formula unit)
1,0.00,-0.58
2,0.00,-0.29
3,0.00,-1.19